GdBAs: relaxed, GGA-PBE.

Values from the calculation:
E = -5.23 eV/atom

Cell and atoms, written as CIF:
```
data_GdBAs
_cell_length_a 6.101
_cell_length_b 6.101
_cell_length_c 6.101
_cell_angle_alpha 90.00
_cell_angle_beta 90.00
_cell_angle_gamma 90.00
_space_group_name_H-M_alt 'F -4 3 m'
_space_group_IT_number 216
_space_group_name_Hall 'F -4 2 3'
loop_
_atom_site_label
_atom_site_type_symbol
_atom_site_fract_x
_atom_site_fract_y
_atom_site_fract_z
Gd1 Gd 0.000 0.000 0.000
B1 B 0.250 0.250 0.750
As1 As 0.000 0.000 0.500
```